FeCu2GeSe4: PBEsol geometry, meta-GGA SCAN.

total magnetic moment: 3.89 μB/f.u.
ρ: 5.7 g cm⁻³
DOS(E_F): 0.816 states/eV/cell
energy relative to the elements, uncorrected: -0.290 eV/atom
calculated volume: 167.6 Å³/cell

Cell lengths 5.535, 5.535, 6.727 Å; angles 114.29, 114.29, 90.00 degrees
Each line ends with the local moment (μB).
Atoms (fractional coordinates):
Ge1 0.000 0.000 0.000  0.00
Se1 0.386 0.386 0.257  0.05
Se2 0.871 0.871 0.257  0.05
Se3 0.129 0.614 0.743  0.05
Se4 0.614 0.129 0.743  0.05
Cu1 0.750 0.250 0.500  0.06
Cu2 0.250 0.750 0.500  0.06
Fe1 0.500 0.500 0.000  3.26


Fe3CuH: PBEsol geometry, meta-GGA SCAN.

total magnetic moment: 7.75 μB/f.u.
ρ: 8.3 g cm⁻³
DOS(E_F): 2.250 states/eV/cell
raw total energy: -14.611 eV per atom
calculated volume: 46.4 Å³/cell

Cell lengths 3.594, 3.594, 3.594 Å; angles 90.00, 90.00, 90.00 degrees
Each line ends with the local moment (μB).
Atoms (fractional coordinates):
Fe1 0.000 0.500 0.000  2.63
Fe2 0.000 0.000 0.500  2.63
Fe3 0.500 0.000 0.000  2.63
H1 0.000 0.000 0.000  -0.03
Cu1 0.500 0.500 0.500  0.17